No. 1
Material: NaSn2Ge2
Method: DFT, SCAN
State: single point on PBEsol structure

Its space-group type is I4/mmm (139). Its formation energy is 7.2 kJ per mole of atoms. The value obtained for the uncorrected energy is -113.9 eV/cell.

a = 4.382 Å, b = 4.382 Å, c = 7.471 Å
α = 107.06°, β = 107.06°, γ = 90.00°
Positions (direct):
Na  0.000  0.000  0.000
Ge  0.250  0.750  0.500
Ge  0.750  0.250  0.500
Sn  0.385  0.385  0.770
Sn  0.615  0.615  0.230

No. 2
Material: LiCdSe2
Method: DFT, SCAN
State: single point on PBEsol structure

Its space-group type is P2/m (10). Its formation energy (no corrections) is -2.12 eV/f.u. The value obtained for the uncorrected energy is -75.1 eV/cell.

a = 3.038 Å, b = 3.760 Å, c = 7.224 Å
α = 90.00°, β = 92.52°, γ = 90.00°
Positions (direct):
Cd  0.500  0.500  0.000
Li  0.000  0.500  0.500
Se  0.706  0.000  0.742
Se  0.294  0.000  0.258

No. 3
Material: YZr2W2
Method: DFT, SCAN
State: single point on PBEsol structure

Its space-group type is I4/mmm (139). Its formation energy is 61.0 kJ per mole of atoms. The value obtained for the uncorrected energy is -225.5 eV/cell.

a = 3.947 Å, b = 3.947 Å, c = 7.531 Å
α = 105.19°, β = 105.19°, γ = 90.00°
Positions (direct):
W  0.250  0.750  0.500
W  0.750  0.250  0.500
Y  0.000  0.000  0.000
Zr  0.611  0.611  0.222
Zr  0.389  0.389  0.778

No. 4
Material: SrAsOsSe2
Method: DFT, SCAN
State: single point on PBEsol structure

Its space-group type is P4/mmm (123). Its formation energy (no corrections) is 8.65 eV/f.u. The value obtained for the uncorrected energy is -145.9 eV/cell.

a = 5.434 Å, b = 5.434 Å, c = 5.491 Å
α = 90.00°, β = 90.00°, γ = 90.00°
Each line ends with the local moment (μB).
Positions (direct):
Sr  0.000  0.000  0.000  0.00
As  0.000  0.000  0.500  -0.38
Os  0.500  0.500  0.500  3.00
Se  0.000  0.500  0.000  -0.33
Se  0.500  0.000  0.000  -0.33

No. 5
Material: Zr2Tl
Method: DFT, SCAN
State: single point on PBEsol structure

Its space-group type is P6_3/mmc (194). Its formation energy is -26.8 kJ per mole of atoms. The value obtained for the uncorrected energy is -269.2 eV/cell.

a = 5.027 Å, b = 5.027 Å, c = 5.962 Å
α = 90.00°, β = 90.00°, γ = 120.00°
Positions (direct):
Tl  0.667  0.333  0.750
Tl  0.333  0.667  0.250
Zr  0.000  0.000  0.000
Zr  0.000  0.000  0.500
Zr  0.667  0.333  0.250
Zr  0.333  0.667  0.750

No. 6
Material: MgSiSe2
Method: DFT, SCAN
State: single point on PBEsol structure

Its space-group type is C2/m (12). Its formation energy (no corrections) is -0.98 eV/f.u. The value obtained for the uncorrected energy is -56.1 eV/cell.

a = 3.716 Å, b = 5.184 Å, c = 5.184 Å
α = 87.54°, β = 68.78°, γ = 68.78°
Positions (direct):
Si  0.000  0.000  0.000
Mg  0.000  0.500  0.500
Se  0.000  0.000  0.500
Se  0.000  0.500  0.000

Record order is preserved below.
Ρ: 5.16, 5.58, 9.74, 5.23, 9.85, 4.04 Mg/m³
Record order is preserved below.
N(E_F): 2.2, 0.4, 5.4, 4.6, 6.3, 1.1 states/eV/cell
Record order is preserved below.
Total magnetization: 0.0, 0.0, 0.0, 1.9, 0.0, 0.0 μB per formula unit